Here is a crystal of Eu2YNbO6 relaxed with PBEsol from Alexandria via LeMat-Bulk. Energies are from meta-GGA SCAN.

Output
Space-group type: No. 225
Energy relative to the elements, uncorrected in meV/atom: -3215.0

abc: 5.879 5.879 5.879
angles: 60.00 60.00 60.00
Last column: magnetic moment on the atom in μB.
Fractional coordinates of all 10 atoms:
O 0.261 0.261 0.739  -0.03
O 0.739 0.739 0.261  -0.03
Y 0.000 0.000 0.000  0.02
O 0.261 0.739 0.739  -0.03
O 0.739 0.261 0.261  -0.03
Eu 0.250 0.250 0.250  6.87
Eu 0.750 0.750 0.750  6.87
O 0.739 0.261 0.739  -0.03
O 0.261 0.739 0.261  -0.03
Nb 0.500 0.500 0.500  0.06

***

Here is a crystal of Sc3Co relaxed with PBEsol from Alexandria via LeMat-Bulk. Energies are from meta-GGA SCAN.

Output
Calculated formation energy in meV/atom: 37
Space-group type: No. 187

abc: 3.242 3.242 8.724
angles: 90.00 90.00 120.00
Last column: magnetic moment on the atom in μB.
Fractional coordinates of all 4 atoms:
Sc 0.667 0.333 0.196  0.26
Sc 0.000 0.000 0.500  0.36
Co 0.000 0.000 0.000  -0.82
Sc 0.667 0.333 0.804  0.26

***

Here is a crystal of ScSe2Cl relaxed with PBEsol from Alexandria via LeMat-Bulk. Energies are from meta-GGA SCAN.

Output
Space-group type: No. 35
Energy relative to the elements, uncorrected in meV/atom: -899.4
Polymorph energy (0 for the lowest one) in meV per atom: 0

abc: 3.057 3.057 9.786
angles: 90.00 90.00 96.27
Fractional coordinates of all 4 atoms:
Cl 0.000 0.000 0.417
Sc 0.500 0.500 0.255
Se 0.000 0.000 0.080
Se 0.500 0.500 0.749

***

Here is a crystal of ReBiSbI2 relaxed with PBEsol from Alexandria via LeMat-Bulk. Energies are from meta-GGA SCAN.

Output
Space-group type: No. 123
Energy relative to the elements, uncorrected in meV/atom: 895.4

abc: 5.156 5.313 5.313
angles: 90.00 90.00 90.00
Last column: magnetic moment on the atom in μB.
Fractional coordinates of all 5 atoms:
Bi 0.500 0.500 0.500  -0.04
I 0.000 0.000 0.500  0.03
Sb 0.500 0.000 0.000  0.00
Re 0.000 0.000 0.000  0.69
I 0.000 0.500 0.000  0.03

***

Here is a crystal of Na2TeHSO5F3 relaxed with PBEsol from Alexandria via LeMat-Bulk. Energies are from meta-GGA SCAN.

Output
Space-group type: No. 14
Total energy in eV/atom: -9.67

abc: 7.584 8.060 10.690
angles: 89.37 90.00 90.00
Fractional coordinates of all 52 atoms:
F 0.101 0.148 0.819
O 0.636 0.214 0.526
F 0.934 0.978 0.634
O 0.266 0.616 0.134
Na 0.482 0.427 0.256
O 0.064 0.679 0.444
Na 0.018 0.427 0.756
O 0.734 0.384 0.866
H 0.867 0.066 0.928
O 0.136 0.786 0.974
H 0.133 0.934 0.072
O 0.936 0.321 0.556
O 0.649 0.955 0.383
F 0.066 0.022 0.366
O 0.436 0.679 0.944
O 0.364 0.786 0.474
O 0.234 0.616 0.634
Na 0.296 0.231 0.977
Te 0.556 0.098 0.714
Na 0.204 0.231 0.477
O 0.813 0.506 0.067
F 0.414 0.303 0.740
O 0.313 0.494 0.433
F 0.914 0.697 0.760
F 0.086 0.303 0.240
O 0.766 0.384 0.366
Te 0.444 0.902 0.286
S 0.762 0.362 0.503
S 0.238 0.638 0.497
H 0.367 0.934 0.572
F 0.601 0.852 0.681
O 0.687 0.506 0.567
Te 0.056 0.902 0.786
Te 0.944 0.098 0.214
F 0.566 0.978 0.134
H 0.633 0.066 0.428
F 0.399 0.148 0.319
S 0.738 0.362 0.003
Na 0.982 0.573 0.244
O 0.149 0.045 0.117
O 0.351 0.045 0.617
O 0.564 0.321 0.056
O 0.187 0.494 0.933
Na 0.518 0.573 0.744
O 0.864 0.214 0.026
Na 0.796 0.769 0.523
F 0.434 0.022 0.866
F 0.586 0.697 0.260
S 0.262 0.638 0.997
F 0.899 0.852 0.181
Na 0.704 0.769 0.023
O 0.851 0.955 0.883

***

Here is a crystal of BaLaMo2 relaxed with PBEsol from Alexandria via LeMat-Bulk. Energies are from meta-GGA SCAN.

Output
Calculated formation energy in meV/atom: 655
Space-group type: No. 44

abc: 3.566 5.325 6.437
angles: 114.43 106.08 90.00
Fractional coordinates of all 4 atoms:
La 0.744 0.744 0.488
Mo 0.296 0.296 0.593
Ba 0.522 0.022 0.043
Mo 0.938 0.438 0.876

***

Here is a crystal of TcNiIr2 relaxed with PBEsol from Alexandria via LeMat-Bulk. Energies are from meta-GGA SCAN.

Output
Calculated formation energy in meV/atom: -126
Space-group type: No. 139
Polymorph energy (0 for the lowest one) in meV per atom: 34

abc: 3.761 3.761 4.579
angles: 114.25 114.25 90.00
Last column: magnetic moment on the atom in μB.
Fractional coordinates of all 4 atoms:
Tc 0.000 0.000 0.000  0.50
Ni 0.500 0.500 0.000  -0.19
Ir 0.250 0.750 0.500  -0.01
Ir 0.750 0.250 0.500  -0.01

***

Here is a crystal of Ca2FeRh relaxed with PBEsol from Alexandria via LeMat-Bulk. Energies are from meta-GGA SCAN.

Output
Calculated formation energy in meV/atom: -11
Space-group type: No. 99

abc: 3.302 3.302 8.241
angles: 90.00 90.00 90.05
Last column: magnetic moment on the atom in μB.
Fractional coordinates of all 4 atoms:
Fe 0.000 0.000 0.429  3.25
Rh 0.500 0.500 0.316  0.48
Ca 0.500 0.500 0.677  -0.01
Ca 0.000 0.000 0.077  -0.02

***

Here is a crystal of MnCrAs2Se relaxed with PBEsol from Alexandria via LeMat-Bulk. Energies are from meta-GGA SCAN.

Output
Space-group type: No. 123
Energy relative to the elements, uncorrected in meV/atom: 289.7

abc: 4.426 4.426 5.116
angles: 90.00 90.00 90.00
Last column: magnetic moment on the atom in μB.
Fractional coordinates of all 5 atoms:
Mn 0.000 0.000 0.000  2.83
Cr 0.500 0.500 0.500  4.15
As 0.000 0.500 0.000  -0.29
Se 0.000 0.000 0.500  -0.31
As 0.500 0.000 0.000  -0.29

***

Here is a crystal of PtBr3 relaxed with PBEsol from Alexandria via LeMat-Bulk. Energies are from meta-GGA SCAN.

Output
Space-group type: No. 166
Energy relative to the elements, uncorrected in meV/atom: 144.9

abc: 3.849 3.849 7.474
angles: 75.08 75.08 60.00
Last column: magnetic moment on the atom in μB.
Fractional coordinates of all 4 atoms:
Br 0.271 0.271 0.188  0.17
Pt 0.000 0.000 0.000  0.62
Br 0.729 0.729 0.812  0.17
Br 0.500 0.500 0.500  -0.03

***

Here is a crystal of CdTcP2Cl relaxed with PBEsol from Alexandria via LeMat-Bulk. Energies are from meta-GGA SCAN.

Output
Space-group type: No. 123
Energy relative to the elements, uncorrected in meV/atom: 1276.7

abc: 4.868 4.868 4.945
angles: 90.00 90.00 90.00
Last column: magnetic moment on the atom in μB.
Fractional coordinates of all 5 atoms:
P 0.000 0.500 0.000  -0.31
Cd 0.000 0.000 0.000  -0.01
P 0.500 0.000 0.000  -0.31
Cl 0.000 0.000 0.500  0.01
Tc 0.500 0.500 0.500  4.19

***

Here is a crystal of Co2PbSe relaxed with PBEsol from Alexandria via LeMat-Bulk. Energies are from meta-GGA SCAN.

Output
Space-group type: No. 123
Energy relative to the elements, uncorrected in meV/atom: 519.1

abc: 3.053 3.053 6.566
angles: 90.00 90.00 90.00
Last column: magnetic moment on the atom in μB.
Fractional coordinates of all 4 atoms:
Se 0.500 0.500 0.500  0.05
Co 0.000 0.000 0.694  1.27
Co 0.000 0.000 0.306  1.27
Pb 0.500 0.500 0.000  -0.01

***

Here is a crystal of Ta5Ru relaxed with PBEsol from Alexandria via LeMat-Bulk. Energies are from meta-GGA SCAN.

Output
Calculated formation energy in meV/atom: -220
Space-group type: No. 123
Polymorph energy (0 for the lowest one) in meV per atom: 26

abc: 3.207 3.207 9.812
angles: 90.00 90.00 90.00
Fractional coordinates of all 6 atoms:
Ta 0.500 0.500 0.669
Ru 0.500 0.500 0.000
Ta 0.500 0.500 0.331
Ta 0.000 0.000 0.841
Ta 0.000 0.000 0.500
Ta 0.000 0.000 0.159

***

Here is a crystal of BaAl2Ir relaxed with PBEsol from Alexandria via LeMat-Bulk. Energies are from meta-GGA SCAN.

Output
Calculated formation energy in meV/atom: 143
Space-group type: No. 139

abc: 4.756 4.860 4.756
angles: 60.70 90.00 119.30
Fractional coordinates of all 4 atoms:
Al 0.750 0.500 0.750
Ir 0.000 0.000 0.000
Ba 0.500 0.000 0.500
Al 0.250 0.500 0.250

***

Here is a crystal of ReSiSe2 relaxed with PBEsol from Alexandria via LeMat-Bulk. Energies are from meta-GGA SCAN.

Output
Space-group type: No. 123
Energy relative to the elements, uncorrected in meV/atom: 906.9

abc: 3.012 4.588 4.588
angles: 90.00 90.00 90.00
Fractional coordinates of all 4 atoms:
Si 0.500 0.500 0.500
Re 0.500 0.000 0.000
Se 0.000 0.000 0.500
Se 0.000 0.500 0.000

***

Here is a crystal of Sr2CdTc relaxed with PBEsol from Alexandria via LeMat-Bulk. Energies are from meta-GGA SCAN.

Output
Calculated formation energy in meV/atom: 743
Space-group type: No. 166

abc: 3.490 3.490 10.444
angles: 80.38 80.38 60.00
Last column: magnetic moment on the atom in μB.
Fractional coordinates of all 4 atoms:
Cd 0.000 0.000 0.000  0.01
Sr 0.760 0.760 0.719  -0.02
Tc 0.500 0.500 0.500  1.15
Sr 0.240 0.240 0.281  -0.02

***

Here is a crystal of InTeCI2 relaxed with PBEsol from Alexandria via LeMat-Bulk. Energies are from meta-GGA SCAN.

Output
Space-group type: No. 123
Energy relative to the elements, uncorrected in meV/atom: 1489.0

abc: 5.735 5.735 5.724
angles: 90.00 90.00 90.00
Last column: magnetic moment on the atom in μB.
Fractional coordinates of all 5 atoms:
Te 0.000 0.000 0.500  -0.56
C 0.500 0.500 0.500  0.94
I 0.000 0.500 0.000  -0.07
I 0.500 0.000 0.000  -0.07
In 0.000 0.000 0.000  0.02

***

Here is a crystal of CoSb3Mo relaxed with PBEsol from Alexandria via LeMat-Bulk. Energies are from meta-GGA SCAN.

Output
Space-group type: No. 221
Energy relative to the elements, uncorrected in meV/atom: 1101.9
Polymorph energy (0 for the lowest one) in meV per atom: 193

abc: 5.125 5.125 5.125
angles: 90.00 90.00 90.00
Last column: magnetic moment on the atom in μB.
Fractional coordinates of all 5 atoms:
Sb 0.000 0.500 0.000  -0.02
Sb 0.000 0.000 0.500  -0.02
Mo 0.000 0.000 0.000  0.01
Sb 0.500 0.000 0.000  -0.02
Co 0.500 0.500 0.500  2.48

***

Here is a crystal of CaYCoAg2 relaxed with PBEsol from Alexandria via LeMat-Bulk. Energies are from meta-GGA SCAN.

Output
Calculated formation energy in meV/atom: 762
Space-group type: No. 123

abc: 4.599 5.048 5.048
angles: 90.00 90.00 90.00
Last column: magnetic moment on the atom in μB.
Fractional coordinates of all 5 atoms:
Ag 0.000 0.000 0.500  0.01
Ag 0.000 0.500 0.000  0.01
Co 0.500 0.000 0.000  1.64
Y 0.500 0.500 0.500  -0.02
Ca 0.000 0.000 0.000  -0.04

***

Here is a crystal of K3Sb relaxed with PBEsol from Alexandria via LeMat-Bulk. Energies are from meta-GGA SCAN.

Output
Space-group type: No. 139
Energy relative to the elements, uncorrected in meV/atom: -395.4
Polymorph energy (0 for the lowest one) in meV per atom: 109

abc: 5.563 5.563 10.538
angles: 105.30 105.30 90.00
Fractional coordinates of all 8 atoms:
Sb 0.632 0.632 0.265
K 0.000 0.500 0.000
K 0.250 0.750 0.500
K 0.750 0.250 0.500
Sb 0.368 0.368 0.735
K 0.139 0.139 0.278
K 0.861 0.861 0.722
K 0.500 0.000 0.000

***

Here is a crystal of As3C relaxed with PBEsol from Alexandria via LeMat-Bulk. Energies are from meta-GGA SCAN.

Output
Calculated formation energy in meV/atom: 973
Space-group type: No. 12

abc: 2.947 3.799 6.601
angles: 75.57 77.10 67.17
Fractional coordinates of all 4 atoms:
C 0.000 0.000 0.000
As 0.337 0.129 0.198
As 0.663 0.871 0.802
As 0.500 0.500 0.500

***

Here is a crystal of ErPS relaxed with PBEsol from Alexandria via LeMat-Bulk. Energies are from meta-GGA SCAN.

Output
Space-group type: No. 62
Energy relative to the elements, uncorrected in meV/atom: -1689.9

abc: 3.586 6.826 8.997
angles: 90.00 90.00 90.00
Fractional coordinates of all 12 atoms:
P 0.250 0.593 0.539
P 0.750 0.907 0.039
Er 0.750 0.792 0.340
S 0.250 0.092 0.346
S 0.750 0.408 0.846
Er 0.250 0.208 0.660
Er 0.750 0.292 0.160
S 0.250 0.592 0.154
S 0.750 0.908 0.654
P 0.250 0.093 0.961
P 0.750 0.407 0.461
Er 0.250 0.708 0.840

***

Here is a crystal of AlRuBr4 relaxed with PBEsol from Alexandria via LeMat-Bulk. Energies are from meta-GGA SCAN.

Output
Space-group type: No. 216
Energy relative to the elements, uncorrected in meV/atom: 1198.9

abc: 6.022 6.022 6.022
angles: 60.00 60.00 60.00
Last column: magnetic moment on the atom in μB.
Fractional coordinates of all 6 atoms:
Br 0.872 0.376 0.376  -0.23
Ru 0.750 0.750 0.750  2.57
Br 0.376 0.376 0.376  -0.23
Al 0.000 0.000 0.000  0.01
Br 0.376 0.376 0.872  -0.23
Br 0.376 0.872 0.376  -0.23

***

Here is a crystal of ZrBe2Pt relaxed with PBEsol from Alexandria via LeMat-Bulk. Energies are from meta-GGA SCAN.

Output
Calculated formation energy in meV/atom: -571
Space-group type: No. 47
Polymorph energy (0 for the lowest one) in meV per atom: 229

abc: 2.744 3.125 6.174
angles: 90.00 90.00 90.00
Fractional coordinates of all 4 atoms:
Be 0.000 0.000 0.807
Be 0.000 0.000 0.193
Pt 0.500 0.500 0.000
Zr 0.500 0.500 0.500

***

Here is a crystal of PtPb2 relaxed with PBEsol from Alexandria via LeMat-Bulk. Energies are from meta-GGA SCAN.

Output
Calculated formation energy in meV/atom: -177
Space-group type: No. 205

abc: 6.717 6.717 6.717
angles: 90.00 90.00 90.00
Fractional coordinates of all 12 atoms:
Pb 0.137 0.637 0.863
Pb 0.363 0.363 0.363
Pb 0.863 0.137 0.637
Pb 0.637 0.637 0.637
Pt 0.000 0.500 0.500
Pt 0.000 0.000 0.000
Pb 0.363 0.137 0.863
Pt 0.500 0.000 0.500
Pb 0.637 0.863 0.137
Pb 0.863 0.363 0.137
Pt 0.500 0.500 0.000
Pb 0.137 0.863 0.363